No. 1
Density functional theory data (PBE-GGA) for a geometry-optimized Sm2GaCoC structure.

total magnetization: 0.0 μB per formula unit
final energy: -6.077 eV per atom
energy of formation from the pure elements: -1.6 eV/f.u.
N(E_F): 0.814 states/eV/atom

Cell lengths 6.297, 3.990, 8.533 Å; angles 90.00, 109.95, 90.00 degrees
Space group P2_1/m (No. 11)
One atom of each set of equivalent atoms:
Sm  0.222  0.250  0.382 x2
Sm  0.222  0.250  0.967 x2
Ga  0.303  0.750  0.700 x2
Co  0.492  0.750  0.258 x2
C  0.195  0.750  0.171 x2

No. 2
Density functional theory data (PBE-GGA) for a geometry-optimized Sm2Ga2Co2C structure.

total magnetization: 0.0 μB per formula unit
final energy: -6.046 eV per atom
energy of formation from the pure elements: -3.4 eV/f.u.
N(E_F): 0.506 states/eV/atom

Cell lengths 10.935, 4.054, 7.023 Å; angles 90.00, 128.91, 90.00 degrees
Space group C2/m (No. 12)
One atom of each set of equivalent atoms:
Sm  0.054  0.000  0.288 x4
Ga  0.167  0.500  0.720 x4
Co  0.192  0.500  0.089 x4
C  0.000  0.500  0.000 x2

No. 3
Density functional theory data (PBE-GGA) for a geometry-optimized SmGaCo2C structure.

total magnetization: 0.0 μB per formula unit
final energy: -6.582 eV per atom
energy of formation from the pure elements: -1.7 eV/f.u.
N(E_F): 0.575 states/eV/atom

Cell lengths 3.904, 10.631, 6.929 Å; angles 90.00, 90.00, 90.00 degrees
Space group Cmcm (No. 63)
One atom of each set of equivalent atoms:
Sm  0.000  0.054  0.250 x4
Ga  0.000  0.227  0.750 x4
Co  0.000  0.340  0.061 x8
C  0.000  0.500  0.000 x4

No. 4
Density functional theory data (PBE-GGA) for a geometry-optimized Sm2Ga3Co5C2 structure.

total magnetization: 1.4 μB per formula unit
final energy: -6.274 eV per atom
energy of formation from the pure elements: -2.8 eV/f.u.
N(E_F): 0.548 states/eV/atom

Cell lengths 3.863, 3.863, 22.540 Å; angles 90.00, 90.00, 90.00 degrees
Space group I4/mmm (No. 139)
One atom of each set of equivalent atoms:
Sm  0.000  0.000  0.197 x4
Ga  0.000  0.000  0.351 x4
Ga  0.000  0.000  0.500 x2
Co  0.000  0.000  0.000 x2
Co  0.000  0.500  0.079 x8
C  0.000  0.000  0.084 x4

No. 5
Density functional theory data (PBE-GGA) for a geometry-optimized GaCoTc2C structure.

total magnetization: 0.0 μB per formula unit
final energy: -8.002 eV per atom
energy of formation from the pure elements: 0.1 eV/f.u.
N(E_F): 1.105 states/eV/atom

Cell lengths 4.078, 4.078, 3.740 Å; angles 90.00, 90.00, 90.00 degrees
Space group P4/mmm (No. 123)
One atom of each set of equivalent atoms:
Ga  0.000  0.000  0.000 x1
Co  0.500  0.500  0.000 x1
Tc  0.000  0.500  0.500 x2
C  0.500  0.500  0.500 x1

No. 6
Density functional theory data (PBE-GGA) for a geometry-optimized Th2Ga2Co2C structure.

total magnetization: 0.0 μB per formula unit
final energy: -6.778 eV per atom
energy of formation from the pure elements: -3.1 eV/f.u.
N(E_F): 1.045 states/eV/atom

Cell lengths 11.142, 4.085, 7.175 Å; angles 90.00, 130.08, 90.00 degrees
Space group C2/m (No. 12)
One atom of each set of equivalent atoms:
Th  0.051  0.000  0.286 x4
Ga  0.169  0.500  0.715 x4
Co  0.188  0.500  0.076 x4
C  0.000  0.500  0.000 x2